# AgSbTe2P | the Alexandria database | PBEsol | optimized geometry
data_AgSbTe2P
_cell_length_a 5.111
_cell_length_b 5.111
_cell_length_c 5.220
_cell_angle_alpha 90.00
_cell_angle_beta 90.00
_cell_angle_gamma 90.00
_symmetry_space_group_name_H-M 'P 4/m m m'
_symmetry_Int_Tables_number 123
_symmetry_space_group_name_Hall '-P 4 2'
loop_
_atom_site_label
_atom_site_type_symbol
_atom_site_fract_x
_atom_site_fract_y
_atom_site_fract_z
Ag1 Ag 0.000 0.000 0.000
Sb1 Sb 0.500 0.500 0.000
Te1 Te 0.000 0.500 0.500
P1 P 0.500 0.500 0.500
# Total energy: -3.50 eV/atom
# ΔE_f (raw): 3.2 eV per formula unit

# ScAg3P | the Alexandria database | PBEsol | optimized geometry
data_ScAg3P
_cell_length_a 4.645
_cell_length_b 4.645
_cell_length_c 4.645
_cell_angle_alpha 90.00
_cell_angle_beta 90.00
_cell_angle_gamma 90.00
_symmetry_space_group_name_H-M 'P m -3 m'
_symmetry_Int_Tables_number 221
_symmetry_space_group_name_Hall '-P 4 2 3'
loop_
_atom_site_label
_atom_site_type_symbol
_atom_site_fract_x
_atom_site_fract_y
_atom_site_fract_z
Sc1 Sc 0.000 0.000 0.000
Ag1 Ag 0.000 0.500 0.500
P1 P 0.500 0.500 0.500
# Total energy: -4.19 eV/atom
# Calculated formation energy: 0.280 eV per atom

# ScAg2P | the Alexandria database | PBEsol | optimized geometry
data_ScAg2P
_cell_length_a 3.773
_cell_length_b 3.773
_cell_length_c 4.798
_cell_angle_alpha 90.00
_cell_angle_beta 90.00
_cell_angle_gamma 90.00
_symmetry_space_group_name_H-M 'P 4/m m m'
_symmetry_Int_Tables_number 123
_symmetry_space_group_name_Hall '-P 4 2'
loop_
_atom_site_label
_atom_site_type_symbol
_atom_site_fract_x
_atom_site_fract_y
_atom_site_fract_z
Sc1 Sc 0.000 0.000 0.000
Ag1 Ag 0.000 0.500 0.500
P1 P 0.500 0.500 0.000
# Total energy: -5.23 eV/atom
# Calculated formation energy: -0.473 eV per atom
# Energy relative to the lowest polymorph listed for this composition: 0 meV per atom

# ScAg2P | the Alexandria database | PBEsol | optimized geometry
data_ScAg2P
_cell_length_a 5.318
_cell_length_b 5.331
_cell_length_c 5.025
_cell_angle_alpha 90.00
_cell_angle_beta 90.00
_cell_angle_gamma 90.00
_symmetry_space_group_name_H-M 'C m m m'
_symmetry_Int_Tables_number 65
_symmetry_space_group_name_Hall '-C 2 2'
loop_
_atom_site_label
_atom_site_type_symbol
_atom_site_fract_x
_atom_site_fract_y
_atom_site_fract_z
Sc1 Sc 0.000 0.000 0.000
Ag1 Ag 0.000 0.254 0.500
P1 P 0.000 0.500 0.000
# Total energy: -5.19 eV/atom
# Calculated formation energy: -0.432 eV per atom
# Energy relative to the lowest polymorph listed for this composition: 42 meV per atom

# ScAgP2 | the Alexandria database | PBEsol | optimized geometry
data_ScAgP2
_cell_length_a 6.397
_cell_length_b 6.397
_cell_length_c 6.397
_cell_angle_alpha 90.00
_cell_angle_beta 90.00
_cell_angle_gamma 90.00
_symmetry_space_group_name_H-M 'F m -3 m'
_symmetry_Int_Tables_number 225
_symmetry_space_group_name_Hall '-F 4 2 3'
loop_
_atom_site_label
_atom_site_type_symbol
_atom_site_fract_x
_atom_site_fract_y
_atom_site_fract_z
Sc1 Sc 0.000 0.000 0.000
Ag1 Ag 0.000 0.000 0.500
P1 P 0.250 0.250 0.250
# Total energy: -5.67 eV/atom
# Calculated formation energy: -0.290 eV per atom

# ScAg2P | the Alexandria database | PBEsol | optimized geometry
data_ScAg2P
_cell_length_a 3.523
_cell_length_b 3.523
_cell_length_c 5.892
_cell_angle_alpha 90.00
_cell_angle_beta 90.00
_cell_angle_gamma 90.00
_symmetry_space_group_name_H-M 'P 4 m m'
_symmetry_Int_Tables_number 99
loop_
_symmetry_equiv_pos_as_xyz
'x,y,z'
'-y,x,z'
'-x,-y,z'
'y,-x,z'
'-x,y,z'
'y,x,z'
'x,-y,z'
'-y,-x,z'
loop_
_atom_site_label
_atom_site_type_symbol
_atom_site_fract_x
_atom_site_fract_y
_atom_site_fract_z
Sc1 Sc 0.000 0.000 0.000
Ag1 Ag 0.000 0.000 0.515
Ag2 Ag 0.500 0.500 0.321
P1 P 0.500 0.500 0.880
# Total energy: -5.10 eV/atom
# Calculated formation energy: -0.347 eV per atom
# Energy relative to the lowest polymorph listed for this composition: 126 meV per atom

# ScAgP2 | the Alexandria database | PBEsol | optimized geometry
data_ScAgP2
_cell_length_a 3.464
_cell_length_b 3.464
_cell_length_c 5.737
_cell_angle_alpha 90.00
_cell_angle_beta 90.00
_cell_angle_gamma 90.00
_symmetry_space_group_name_H-M 'P 4/m m m'
_symmetry_Int_Tables_number 123
_symmetry_space_group_name_Hall '-P 4 2'
loop_
_atom_site_label
_atom_site_type_symbol
_atom_site_fract_x
_atom_site_fract_y
_atom_site_fract_z
Sc1 Sc 0.000 0.000 0.000
Ag1 Ag 0.000 0.000 0.500
P1 P 0.500 0.500 0.199
# Total energy: -5.75 eV/atom
# Calculated formation energy: -0.376 eV per atom

# ScAgP2Se6 | the Alexandria database | PBEsol | optimized geometry
data_ScAgP2Se6
_cell_length_a 6.3980
_cell_length_b 6.3980
_cell_length_c 13.3777
_cell_angle_alpha 90.00
_cell_angle_beta 90.00
_cell_angle_gamma 120.00
_symmetry_space_group_name_H-M 'P -3 1 c'
_symmetry_Int_Tables_number 163
_symmetry_space_group_name_Hall '-P 3 2c'
loop_
_atom_site_label
_atom_site_type_symbol
_atom_site_fract_x
_atom_site_fract_y
_atom_site_fract_z
Sc1 Sc 0.0000 0.0000 0.2500
Ag1 Ag 0.3333 0.6667 0.2500
P1 P 0.3333 0.6667 0.6665
Se1 Se 0.0158 0.3262 0.8814
# Total energy: -4.96 eV/atom
# ΔE_f (raw): -5.0 eV per formula unit

# Ag3PSe | the Alexandria database | PBEsol | optimized geometry
data_Ag3PSe
_cell_length_a 4.689
_cell_length_b 4.689
_cell_length_c 4.689
_cell_angle_alpha 90.00
_cell_angle_beta 90.00
_cell_angle_gamma 90.00
_symmetry_space_group_name_H-M 'P m -3 m'
_symmetry_Int_Tables_number 221
_symmetry_space_group_name_Hall '-P 4 2 3'
loop_
_atom_site_label
_atom_site_type_symbol
_atom_site_fract_x
_atom_site_fract_y
_atom_site_fract_z
Ag1 Ag 0.000 0.000 0.500
P1 P 0.000 0.000 0.000
Se1 Se 0.500 0.500 0.500
# Total energy: -3.53 eV/atom
# ΔE_f (raw): 1.9 eV per formula unit

# Ag2PSe | the Alexandria database | PBEsol | optimized geometry
data_Ag2PSe
_cell_length_a 3.561
_cell_length_b 4.644
_cell_length_c 8.440
_cell_angle_alpha 90.00
_cell_angle_beta 90.00
_cell_angle_gamma 90.00
_symmetry_space_group_name_H-M 'I m m m'
_symmetry_Int_Tables_number 71
_symmetry_space_group_name_Hall '-I 2 2'
loop_
_atom_site_label
_atom_site_type_symbol
_atom_site_fract_x
_atom_site_fract_y
_atom_site_fract_z
Ag1 Ag 0.000 0.000 0.239
P1 P 0.000 0.500 0.500
Se1 Se 0.000 0.500 0.000
# Total energy: -3.74 eV/atom
# Energy relative to the lowest polymorph listed for this composition: 91 meV per atom
# ΔE_f (raw): 1.3 eV per formula unit

# Ag2PSe | the Alexandria database | PBEsol | optimized geometry
data_Ag2PSe
_cell_length_a 2.780
_cell_length_b 3.940
_cell_length_c 6.668
_cell_angle_alpha 90.00
_cell_angle_beta 90.00
_cell_angle_gamma 90.00
_symmetry_space_group_name_H-M 'P m m 2'
_symmetry_Int_Tables_number 25
loop_
_symmetry_equiv_pos_as_xyz
'x,y,z'
'-x,-y,z'
'-x,y,z'
'x,-y,z'
loop_
_atom_site_label
_atom_site_type_symbol
_atom_site_fract_x
_atom_site_fract_y
_atom_site_fract_z
Ag1 Ag 0.000 0.000 0.000
Ag2 Ag 0.500 0.500 0.258
P1 P 0.000 0.000 0.404
Se1 Se 0.500 0.500 0.777
# Total energy: -3.83 eV/atom
# Energy relative to the lowest polymorph listed for this composition: 0 meV per atom
# ΔE_f (raw): 0.9 eV per formula unit

# TaAg2PSe | the Alexandria database | PBEsol | optimized geometry
data_TaAg2PSe
_cell_length_a 5.166
_cell_length_b 5.166
_cell_length_c 4.605
_cell_angle_alpha 90.00
_cell_angle_beta 90.00
_cell_angle_gamma 90.00
_symmetry_space_group_name_H-M 'P 4/m m m'
_symmetry_Int_Tables_number 123
_symmetry_space_group_name_Hall '-P 4 2'
loop_
_atom_site_label
_atom_site_type_symbol
_atom_site_fract_x
_atom_site_fract_y
_atom_site_fract_z
Ta1 Ta 0.000 0.000 0.000
Ag1 Ag 0.000 0.500 0.000
P1 P 0.000 0.000 0.500
Se1 Se 0.500 0.500 0.500
# Total energy: -4.56 eV/atom
# ΔE_f (raw): 6.0 eV per formula unit

# VAgP2Se6 | the Alexandria database | PBEsol | optimized geometry
data_VAgP2Se6
_cell_length_a 6.286
_cell_length_b 10.945
_cell_length_c 6.904
_cell_angle_alpha 90.00
_cell_angle_beta 106.74
_cell_angle_gamma 90.00
_symmetry_space_group_name_H-M 'C 1 2 1'
_symmetry_Int_Tables_number 5
loop_
_symmetry_equiv_pos_as_xyz
'x,y,z'
'-x,y,-z'
'x+1/2,y+1/2,z'
'-x+1/2,y+1/2,-z'
loop_
_atom_site_label
_atom_site_type_symbol
_atom_site_fract_x
_atom_site_fract_y
_atom_site_fract_z
V1 V 0.000 0.000 0.000
Ag1 Ag 0.000 0.658 0.000
P1 P 0.051 0.329 0.166
Se1 Se 0.220 0.151 0.258
Se2 Se 0.222 0.989 0.747
Se3 Se 0.237 0.848 0.250
# Total energy: -5.00 eV/atom
# ΔE_f (raw): -2.3 eV per formula unit